Entry 1:
Entry from Alexandria: a relaxed DyZrIrPt crystal (GGA-PBE).

Output
final energy	-7.90	eV/atom
density of states at the Fermi level	1.149	states/eV/atom
spin magnetization	0.00	μB per cell
ΔE_f	-0.883	eV per atom

The structure in CIF format:
```
data_DyZrIrPt
_cell_length_a 4.8024
_cell_length_b 4.8024
_cell_length_c 4.8024
_cell_angle_alpha 60.00
_cell_angle_beta 60.00
_cell_angle_gamma 60.00
_space_group_name_H-M_alt 'P 1'
_space_group_IT_number 1
loop_
_space_group_symop_operation_xyz
'x,y,z'
loop_
_atom_site_label
_atom_site_fract_x
_atom_site_fract_y
_atom_site_fract_z
Ir1 0.0000 0.0000 0.0000
Zr1 0.2500 0.2500 0.2500
Pt1 0.5000 0.5000 0.5000
Dy1 0.7500 0.7500 0.7500
```



Entry 2:
Entry from Alexandria: a relaxed DyPu2Ir crystal (GGA-PBE).

Output
final energy	-10.41	eV/atom
density of states at the Fermi level	3.795	states/eV/atom
spin magnetization	11.23	μB per cell
ΔE_f	0.123	eV per atom

The structure in CIF format:
```
data_DyPu2Ir
_cell_length_a 3.6317
_cell_length_b 3.6317
_cell_length_c 10.1601
_cell_angle_alpha 79.70
_cell_angle_beta 79.70
_cell_angle_gamma 60.00
_space_group_name_H-M_alt 'P 1'
_space_group_IT_number 1
loop_
_space_group_symop_operation_xyz
'x,y,z'
loop_
_atom_site_label
_atom_site_fract_x
_atom_site_fract_y
_atom_site_fract_z
Ir1 0.5000 0.5000 0.5000
Dy1 0.0000 0.0000 0.0000
Pu1 0.1062 0.1062 0.6815
Pu2 0.8938 0.8938 0.3185
```



Entry 3:
Entry from Alexandria: a relaxed Dy2PuIr crystal (GGA-PBE).

Output
final energy	-8.43	eV/atom
density of states at the Fermi level	2.001	states/eV/atom
spin magnetization	6.77	μB per cell
ΔE_f	-0.335	eV per atom

The structure in CIF format:
```
data_Dy2PuIr
_cell_length_a 3.4371
_cell_length_b 3.4371
_cell_length_c 8.6441
_cell_angle_alpha 90.00
_cell_angle_beta 90.00
_cell_angle_gamma 90.00
_space_group_name_H-M_alt 'P 1'
_space_group_IT_number 1
loop_
_space_group_symop_operation_xyz
'x,y,z'
loop_
_atom_site_label
_atom_site_fract_x
_atom_site_fract_y
_atom_site_fract_z
Ir1 0.5000 0.5000 0.0000
Dy1 0.0000 0.0000 0.8076
Dy2 0.0000 0.0000 0.1924
Pu1 0.5000 0.5000 0.5000
```